(1)
## Hf2ThC3 (PBE-GGA)

Data for a relaxed Hf2ThC3 crystal.

It has space group Cmcm (No. 63), with a = 3.710 Å, b = 11.679 Å, c = 8.925 Å, α = 90.00°, β = 90.00° and γ = 90.00°. The asymmetric unit holds Hf at (0.000, 0.000, 0.000), Hf at (0.000, 0.446, 0.250), Th at (0.000, 0.287, 0.750), C at (0.000, 0.054, 0.250) and C at (0.000, 0.370, 0.034).

The crystal system is orthorhombic. As for the calculated total energy: -9.15 eV/atom. The value obtained for the density of states at the Fermi level is 3.32 states/eV per cell. For the total moment, the calculation gives 0.00 μB per formula unit. The formation energy is 9 kJ/mol of formula units.

=====

(2)
## HfTh3C4 (PBE-GGA)

Data for a relaxed HfTh3C4 crystal.

It has space group Pmn2_1 (No. 31), with a = 8.150 Å, b = 7.172 Å, c = 5.638 Å, α = 90.00°, β = 90.00° and γ = 90.00°. The asymmetric unit holds Hf at (0.000, 0.173, 0.000), Th at (0.000, 0.853, 0.511), Th at (0.249, 0.669, 0.011), C at (0.000, 0.176, 0.614), C at (0.000, 0.864, 0.058) and C at (0.237, 0.323, 0.063).

The crystal system is orthorhombic. As for the calculated total energy: -8.85 eV/atom. The value obtained for the density of states at the Fermi level is 0.59 states/eV per cell. For the total moment, the calculation gives 0.00 μB per formula unit. The formation energy is -164 kJ/mol of formula units.

=====

(3)
## HfTh2C (PBE-GGA)

Data for a relaxed HfTh2C crystal.

It has space group R-3m (No. 166, hexagonal axes), with a = 3.4609 Å, b = 3.4609 Å, c = 28.3491 Å, α = 90.00°, β = 90.00° and γ = 120.00°. The asymmetric unit holds Hf at (0.0000, 0.0000, 0.0000), Th at (0.0000, 0.0000, 0.1125) and C at (0.0000, 0.0000, 0.5000).

The crystal system is trigonal. As for the calculated total energy: -8.27 eV/atom. The value obtained for the density of states at the Fermi level is 15.48 states/eV per cell. For the total moment, the calculation gives 0.44 μB per formula unit. The formation energy is 91 kJ/mol of formula units.

=====

(4)
## Hf2ThWC4 (PBE-GGA)

Data for a relaxed Hf2ThWC4 crystal.

It has space group Cmcm (No. 63), with a = 3.370 Å, b = 11.836 Å, c = 11.629 Å, α = 90.00°, β = 90.00° and γ = 90.00°. The asymmetric unit holds Hf at (0.000, 0.129, 0.038), Th at (0.000, 0.396, 0.250), W at (0.000, 0.340, 0.750), C at (0.000, 0.060, 0.250), C at (0.000, 0.239, 0.616) and C at (0.000, 0.500, 0.000).

The crystal system is orthorhombic. As for the calculated total energy: -10.03 eV/atom. The value obtained for the density of states at the Fermi level is 11.81 states/eV per cell. For the total moment, the calculation gives 0.00 μB per formula unit. The formation energy is -299 kJ/mol of formula units.

=====

(5)
## Hf5TiC6 (PBE-GGA)

Data for a relaxed Hf5TiC6 crystal.

It has space group C2/m (No. 12), with a = 5.641 Å, b = 9.765 Å, c = 5.641 Å, α = 90.00°, β = 109.51° and γ = 90.00°. The asymmetric unit holds Hf at (0.000, 0.000, 0.000), Hf at (0.000, 0.167, 0.500), Hf at (0.000, 0.334, 0.000), Ti at (0.000, 0.500, 0.500), C at (0.246, 0.336, 0.746) and C at (0.246, 0.500, 0.253).

The crystal system is monoclinic. As for the calculated total energy: -10.31 eV/atom. The value obtained for the density of states at the Fermi level is 4.56 states/eV per cell. For the total moment, the calculation gives 0.00 μB per formula unit. The formation energy is -1036 kJ/mol of formula units.

=====

(6)
## Hf2TiC (PBE-GGA)

Data for a relaxed Hf2TiC crystal.

It has space group R-3m (No. 166, hexagonal axes), with a = 3.1975 Å, b = 3.1975 Å, c = 24.4517 Å, α = 90.00°, β = 90.00° and γ = 120.00°. The asymmetric unit holds Hf at (0.0000, 0.0000, 0.1149), Ti at (0.0000, 0.0000, 0.0000) and C at (0.0000, 0.0000, 0.5000).

The crystal system is trigonal. As for the calculated total energy: -9.44 eV/atom. The value obtained for the density of states at the Fermi level is 7.15 states/eV per cell. For the total moment, the calculation gives 1.40 μB per formula unit. The formation energy is -71 kJ/mol of formula units.

=====

(7)
## Hf2TiC2 (PBE-GGA)

Data for a relaxed Hf2TiC2 crystal.

It has space group Pmmn (No. 59, origin choice 2), with a = 3.227 Å, b = 4.625 Å, c = 9.452 Å, α = 90.00°, β = 90.00° and γ = 90.00°. The asymmetric unit holds Hf at (0.250, 0.250, 0.085), Hf at (0.250, 0.250, 0.748), Ti at (0.250, 0.250, 0.414), C at (0.250, 0.750, 0.089) and C at (0.250, 0.750, 0.729).

The crystal system is orthorhombic. As for the calculated total energy: -9.97 eV/atom. The value obtained for the density of states at the Fermi level is 4.44 states/eV per cell. For the total moment, the calculation gives 0.00 μB per formula unit. The formation energy is -349 kJ/mol of formula units. For the excess energy over the best structure of this formula in the dataset, the calculation gives 35.2 meV per atom.

=====

(8)
## Hf3TiC (PBE-GGA)

Data for a relaxed Hf3TiC crystal.

It has space group Pm-3m (No. 221), with a = 4.839 Å, b = 4.839 Å, c = 4.839 Å, α = 90.00°, β = 90.00° and γ = 90.00°. The asymmetric unit holds Hf at (0.000, 0.000, 0.500), Ti at (0.000, 0.000, 0.000) and C at (0.500, 0.500, 0.500).

The crystal system is cubic. As for the calculated total energy: -7.28 eV/atom. The value obtained for the density of states at the Fermi level is 6.33 states/eV per cell. For the total moment, the calculation gives 0.00 μB per formula unit. The formation energy is 1021 kJ/mol of formula units. For the excess energy over the best structure of this formula in the dataset, the calculation gives 2356.4 meV per atom.